Crystalline La8As3I4Br at its relaxed geometry. Source: Alexandria, functional PBE.

Properties
Raw formation energy, kJ/mol of formula units: -2054

a = 8.768 Å, b = 9.244 Å, c = 8.768 Å
α = 118.31°, β = 120.00°, γ = 90.00°
Fractional positions:
I1 0.000 0.000 0.000
I2 0.500 0.000 0.000
I3 0.500 0.000 0.500
I4 0.000 0.000 0.500
La1 0.238 0.705 0.476
La2 0.762 0.295 0.033
La3 0.266 0.297 0.532
La4 0.729 0.705 0.967
La5 0.762 0.295 0.524
La6 0.734 0.703 0.468
La7 0.271 0.295 0.033
La8 0.238 0.705 0.967
As1 0.500 0.500 0.500
As2 0.500 0.500 0.000
As3 0.000 0.500 0.500
Br1 0.000 0.500 0.000


Crystalline Ca5In at its relaxed geometry. Source: Alexandria, functional PBE.

Properties
Relative energy among the computed polymorphs, eV/atom: 0.4237

a = 6.808 Å, b = 6.808 Å, c = 6.351 Å
α = 90.00°, β = 90.00°, γ = 120.00°
Fractional positions:
Ca1 0.500 0.000 0.500
Ca2 0.000 0.500 0.500
Ca3 0.500 0.500 0.500
Ca4 0.667 0.333 0.000
Ca5 0.333 0.667 0.000
In1 0.000 0.000 0.000


Crystalline Ti4GaCu at its relaxed geometry. Source: Alexandria, functional PBE.

Properties
Energy, eV/cell: -80.00

a = 10.553 Å, b = 4.273 Å, c = 4.273 Å
α = 90.00°, β = 89.99°, γ = 90.00°
Fractional positions:
Ti1 0.163 0.500 0.000
Ti2 0.163 0.000 0.500
Ti3 0.837 0.500 0.000
Ti4 0.663 0.500 0.500
Ti5 0.837 0.000 0.500
Ti6 0.663 0.000 0.000
Ti7 0.337 0.000 0.000
Ti8 0.337 0.500 0.500
Cu1 0.500 0.000 0.500
Cu2 0.000 0.500 0.500
Ga1 0.500 0.500 0.000
Ga2 0.000 0.000 0.000


Crystalline MnReTc at its relaxed geometry. Source: Alexandria, functional PBE.

Properties
Relative energy among the computed polymorphs, eV/atom: 0.0042

a = 5.926 Å, b = 5.926 Å, c = 5.926 Å
α = 153.77°, β = 153.77°, γ = 37.44°
Fractional positions:
Mn1 0.001 0.001 0.000
Tc1 0.656 0.656 0.000
Re1 0.343 0.343 0.000


Crystalline Tm2VCd at its relaxed geometry. Source: Alexandria, functional PBE.

Properties
Relative energy among the computed polymorphs, eV/atom: 0.5437

a = 3.252 Å, b = 3.252 Å, c = 11.113 Å
α = 81.59°, β = 81.59°, γ = 60.00°
Last column: magnetic moment on the atom in μB.
Fractional positions:
Tm1 0.914 0.914 0.257  0.09
Tm2 0.086 0.086 0.743  0.09
Cd1 0.500 0.500 0.500  0.01
V1 0.000 0.000 0.000  2.48


Crystalline Mg3CdBi at its relaxed geometry. Source: Alexandria, functional PBE.

Properties
Relative energy among the computed polymorphs, eV/atom: 0.0000

a = 4.620 Å, b = 8.723 Å, c = 7.408 Å
α = 114.57°, β = 89.61°, γ = 105.92°
Fractional positions:
Mg1 0.249 0.500 0.667
Mg2 0.075 0.155 0.207
Mg3 0.574 0.146 0.892
Mg4 0.751 0.500 0.333
Mg5 0.426 0.854 0.108
Mg6 0.925 0.845 0.793
Cd1 0.205 0.411 0.034
Cd2 0.795 0.589 0.966
Bi1 0.606 0.224 0.502
Bi2 0.394 0.776 0.498


| no. | M_tot (μB per formula unit) |
| --- | --- |
| 1 | 0.0 |
| 2 | 0.0 |
| 3 | 0.0 |
| 4 | 0.0 |
| 5 | 3.1 |
| 6 | 0.0 |